# 1
A plane-wave DFT calculation with PBE was carried out for a geometry-optimized NdSm2Er6 structure.

abc: 16.892 9.756 3.453
angles: 90.00 90.17 90.00
Space group C2/m (No. 12)
Inequivalent atoms, fractional coordinates:
1 Nd 0.000 0.000 0.000
2 Sm 0.167 0.500 0.000
3 Er 0.000 0.334 0.500
4 Er 0.167 0.167 0.500

Results
* polymorph energy (0 for the lowest one): 0.000 eV per atom
* calculated formation energy: 0.076 eV/atom
* total energy: -4.5443 eV per atom

***

# 2
A plane-wave DFT calculation with PBE was carried out for a geometry-optimized BiMoWS2 structure.

abc: 4.603 4.603 5.192
angles: 90.00 90.00 90.00
Space group P4/mmm (No. 123)
Inequivalent atoms, fractional coordinates:
1 Bi 0.000 0.000 0.000
2 Mo 0.500 0.500 0.500
3 W 0.500 0.500 0.000
4 S 0.000 0.500 0.500

Results
* E_form (uncorrected): 806 meV/atom
* total energy: -6.3784 eV per atom

***

What did the first record say?
A plane-wave DFT calculation with PBE was carried out for a geometry-optimized NdSm2Er6 structure.

abc: 16.892 9.756 3.453
angles: 90.00 90.17 90.00
Space group C2/m (No. 12)
Inequivalent atoms, fractional coordinates:
1 Nd 0.000 0.000 0.000
2 Sm 0.167 0.500 0.000
3 Er 0.000 0.334 0.500
4 Er 0.167 0.167 0.500

Results
* polymorph energy (0 for the lowest one): 0.000 eV per atom
* calculated formation energy: 0.076 eV/atom
* total energy: -4.5443 eV per atom